[1]
# K2CaNi (PBE, optimized geometry)
# * magnetization: 0.000 μB per atom
# * crystal system: tetragonal
# * volume: 33.5 Å³ per atom
# * energy of formation from the pure elements: 0.53 eV per atom
data_K2CaNi
_cell_length_a 5.7541
_cell_length_b 5.7541
_cell_length_c 8.1050
_cell_angle_alpha 90.00
_cell_angle_beta 90.00
_cell_angle_gamma 90.00
_space_group_name_H-M_alt 'I -4 m 2'
_space_group_IT_number 119
_space_group_name_Hall 'I -4 -2'
loop_
_atom_site_label
_atom_site_type_symbol
_atom_site_fract_x
_atom_site_fract_y
_atom_site_fract_z
_atom_site_occupancy
K1 K 0.0000 0.0000 0.0000 1
K2 K 0.0000 0.5000 0.2500 1
Ca1 Ca 0.0000 0.5000 0.7500 1
Ni1 Ni 0.0000 0.0000 0.5000 1

---

[2]
# KCaNi4 (PBE, optimized geometry)
# * magnetization: 0.099 μB per atom
# * crystal system: cubic
# * volume: 16.1 Å³ per atom
# * energy of formation from the pure elements: 0.21 eV per atom
data_KCaNi4
_cell_length_a 7.2821
_cell_length_b 7.2821
_cell_length_c 7.2821
_cell_angle_alpha 90.00
_cell_angle_beta 90.00
_cell_angle_gamma 90.00
_space_group_name_H-M_alt 'F -4 3 m'
_space_group_IT_number 216
_space_group_name_Hall 'F -4 2 3'
loop_
_atom_site_label
_atom_site_type_symbol
_atom_site_fract_x
_atom_site_fract_y
_atom_site_fract_z
_atom_site_occupancy
K1 K 0.0000 0.0000 0.0000 1
Ca1 Ca 0.2500 0.2500 0.2500 1
Ni1 Ni 0.1241 0.1241 0.6241 1

---

[3]
# KCaReNi2 (PBE, optimized geometry)
# * magnetization: 0.522 μB per atom
# * crystal system: tetragonal
# * volume: 22.2 Å³ per atom
# * energy of formation from the pure elements: 2.21 eV per atom
data_KCaReNi2
_cell_length_a 4.7424
_cell_length_b 4.7424
_cell_length_c 4.9404
_cell_angle_alpha 90.00
_cell_angle_beta 90.00
_cell_angle_gamma 90.00
_space_group_name_H-M_alt 'P 4/m m m'
_space_group_IT_number 123
_space_group_name_Hall '-P 4 2'
loop_
_atom_site_label
_atom_site_type_symbol
_atom_site_fract_x
_atom_site_fract_y
_atom_site_fract_z
_atom_site_occupancy
K1 K 0.0000 0.0000 0.0000 1
Ca1 Ca 0.5000 0.5000 0.5000 1
Re1 Re 0.0000 0.0000 0.5000 1
Ni1 Ni 0.0000 0.5000 0.0000 1

---

[4]
# KCa2NiSn (PBE, optimized geometry)
# * magnetization: 0.162 μB per atom
# * crystal system: tetragonal
# * volume: 31.2 Å³ per atom
# * energy of formation from the pure elements: -0.18 eV per atom
data_KCa2NiSn
_cell_length_a 5.6029
_cell_length_b 5.6029
_cell_length_c 4.9688
_cell_angle_alpha 90.00
_cell_angle_beta 90.00
_cell_angle_gamma 90.00
_space_group_name_H-M_alt 'P 4/m m m'
_space_group_IT_number 123
_space_group_name_Hall '-P 4 2'
loop_
_atom_site_label
_atom_site_type_symbol
_atom_site_fract_x
_atom_site_fract_y
_atom_site_fract_z
_atom_site_occupancy
K1 K 0.0000 0.0000 0.0000 1
Ca1 Ca 0.0000 0.5000 0.5000 1
Ni1 Ni 0.5000 0.5000 0.5000 1
Sn1 Sn 0.5000 0.5000 0.0000 1

---

Q: What is the formula in the fourth record?
A: KCa2NiSn